## 1
CaVRe: relaxed, PBE.

Cell and atoms, written as POSCAR:
```
CaVRe
1.0
3.189 0.000 0.000
0.000 3.189 0.000
0.000 0.000 11.783
Re Ca V
2 2 2
Direct
0.000 0.500 0.330
0.500 0.000 0.670
0.000 0.500 0.853
0.500 0.000 0.147
0.000 0.500 0.570
0.500 0.000 0.430
```

Crystal system: tetragonal
Volume, Å³ per atom: 19.98
Total moment, μB per cell: 0.0

---

## 2
CaVRe: relaxed, PBE.

Cell and atoms, written as POSCAR:
```
CaVRe
1.0
4.903 0.000 -0.014
0.000 4.495 0.000
-1.053 0.000 5.841
Re Ca V
2 2 2
Direct
0.677 0.000 0.247
0.426 0.500 0.169
0.083 0.000 0.843
0.573 0.500 0.676
0.206 0.000 0.348
0.980 0.500 0.274
```

Crystal system: monoclinic
Volume, Å³ per atom: 21.45
Total moment, μB per cell: 0.6

---

## 3
CaVRe: relaxed, PBE.

Cell and atoms, written as POSCAR:
```
CaVRe
1.0
-1.763 1.746 4.812
-2.040 -3.452 0.505
9.112 -4.649 5.026
Re Ca V
4 4 4
Direct
0.500 0.000 0.841
0.500 0.500 0.341
0.000 0.000 0.934
0.000 0.500 0.434
0.000 0.000 0.669
0.000 0.500 0.169
0.500 0.000 0.112
0.500 0.500 0.612
0.746 0.000 0.398
0.254 0.000 0.398
0.746 0.500 0.898
0.254 0.500 0.898
```

Crystal system: orthorhombic
Volume, Å³ per atom: 20.78
Total moment, μB per cell: 0.0

---

Tell me which of them is the least stable. Sure, it is 2.

---

## 1
CaVRe: relaxed, PBE.

Cell and atoms, written as POSCAR:
```
CaVRe
1.0
4.711 0.000 -0.002
0.000 4.418 0.000
-0.502 0.000 6.327
Re Ca V
2 2 2
Direct
0.335 0.250 0.619
0.665 0.750 0.381
0.259 0.250 0.130
0.741 0.750 0.870
0.833 0.250 0.519
0.167 0.750 0.481
```

Crystal system: monoclinic
Volume, Å³ per atom: 21.95
Total moment, μB per cell: 0.0

---

## 2
CaVRe: relaxed, PBE.

Cell and atoms, written as POSCAR:
```
CaVRe
1.0
-4.832 2.194 -0.744
-1.689 -2.884 2.461
1.759 6.622 8.967
Re Ca V
4 4 4
Direct
0.749 0.000 0.127
0.749 0.500 0.627
0.483 0.000 0.589
0.483 0.500 0.089
0.984 0.000 0.414
0.984 0.500 0.914
0.501 0.000 0.853
0.501 0.500 0.353
0.229 0.000 0.111
0.229 0.500 0.611
0.998 0.000 0.684
0.998 0.500 0.184
```

Crystal system: monoclinic
Volume, Å³ per atom: 20.92
Total moment, μB per cell: 0.8

---

Tell me which of them is the least stable. Sure, it is 1.

---

## 1
CaVRe: relaxed, PBE.

Cell and atoms, written as POSCAR:
```
CaVRe
1.0
-3.811 3.554 3.891
-2.017 0.492 -2.424
-3.571 -11.460 0.647
Re Ca V
4 4 4
Direct
0.116 0.000 0.704
0.884 0.000 0.296
0.116 0.500 0.204
0.884 0.500 0.796
0.241 0.000 0.998
0.759 0.000 0.002
0.241 0.500 0.498
0.759 0.500 0.502
0.607 0.000 0.703
0.393 0.000 0.297
0.607 0.500 0.203
0.393 0.500 0.797
```

Crystal system: monoclinic
Volume, Å³ per atom: 19.74
Total moment, μB per cell: 0.0

---

## 2
CaVRe: relaxed, PBE.

Cell and atoms, written as POSCAR:
```
CaVRe
1.0
6.799 0.000 0.004
0.000 6.685 0.000
-0.092 0.000 5.817
Re Ca V
4 4 4
Direct
0.352 0.000 0.204
0.648 0.000 0.796
0.352 0.500 0.704
0.648 0.500 0.296
0.849 0.000 0.255
0.151 0.000 0.745
0.849 0.500 0.755
0.151 0.500 0.245
0.500 0.793 0.500
0.500 0.207 0.500
0.500 0.293 0.000
0.500 0.707 0.000
```

Crystal system: monoclinic
Volume, Å³ per atom: 22.03
Total moment, μB per cell: 0.0

---

Tell me which of them is the least stable. Sure, it is 1.

---

## 1
CaVRe: relaxed, PBE.

Cell and atoms, written as POSCAR:
```
CaVRe
1.0
3.219 0.000 0.000
0.000 3.219 0.000
0.000 0.000 11.322
Re Ca V
2 2 2
Direct
0.000 0.000 0.742
0.500 0.500 0.242
0.000 0.000 0.047
0.500 0.500 0.547
0.000 0.000 0.335
0.500 0.500 0.835
```

Crystal system: tetragonal
Volume, Å³ per atom: 19.55
Total moment, μB per cell: 0.0

---

## 2
CaVRe: relaxed, PBE.

Cell and atoms, written as POSCAR:
```
CaVRe
1.0
4.080 0.000 0.000
0.000 11.245 0.000
0.000 0.000 5.440
Re Ca V
4 4 4
Direct
0.000 0.000 0.000
0.000 0.000 0.500
0.500 0.500 0.000
0.500 0.500 0.500
0.000 0.717 0.250
0.000 0.283 0.750
0.500 0.217 0.250
0.500 0.783 0.750
0.000 0.449 0.250
0.000 0.551 0.750
0.500 0.949 0.250
0.500 0.051 0.750
```

Crystal system: orthorhombic
Volume, Å³ per atom: 20.80
Total moment, μB per cell: 4.9

---

## 3
CaVRe: relaxed, PBE.

Cell and atoms, written as POSCAR:
```
CaVRe
1.0
4.593 0.000 0.000
0.000 11.294 0.000
0.000 0.000 4.578
Re Ca V
4 4 4
Direct
0.000 0.048 0.250
0.000 0.952 0.750
0.500 0.548 0.250
0.500 0.452 0.750
0.000 0.752 0.250
0.000 0.248 0.750
0.500 0.252 0.250
0.500 0.748 0.750
0.000 0.460 0.250
0.000 0.540 0.750
0.500 0.960 0.250
0.500 0.040 0.750
```

Crystal system: orthorhombic
Volume, Å³ per atom: 19.79
Total moment, μB per cell: 0.0

---

Tell me which of them is the least stable. Sure, it is 3.

---

## 1
CaV2Re2: relaxed, PBE.

Cell and atoms, written as POSCAR:
```
CaV2Re2
1.0
4.169 0.000 0.000
0.000 4.169 0.000
2.084 2.084 5.487
Re Ca V
2 1 2
Direct
0.750 0.250 0.500
0.250 0.750 0.500
0.000 0.000 0.000
0.371 0.371 0.258
0.629 0.629 0.742
```

Crystal system: tetragonal
Volume, Å³ per atom: 19.07
Total moment, μB per cell: 1.0

---

## 2
CaV2Re2: relaxed, PBE.

Cell and atoms, written as POSCAR:
```
CaV2Re2
1.0
7.849 0.000 0.000
0.000 7.849 0.000
0.000 0.000 2.731
Re Ca V
4 2 4
Direct
0.148 0.648 0.500
0.648 0.852 0.500
0.852 0.352 0.500
0.352 0.148 0.500
0.000 0.000 0.000
0.500 0.500 0.000
0.356 0.856 0.000
0.856 0.644 0.000
0.644 0.144 0.000
0.144 0.356 0.000
```

Crystal system: tetragonal
Volume, Å³ per atom: 16.83
Total moment, μB per cell: 0.0

---

Tell me which of them is the least stable. Sure, it is 1.

---

## 1
CaReW3: relaxed, PBE.

Cell and atoms, written as POSCAR:
```
CaReW3
1.0
4.495 0.000 0.000
0.000 4.495 0.000
0.000 0.000 4.495
Re Ca W
1 1 3
Direct
0.500 0.500 0.500
0.000 0.000 0.000
0.000 0.500 0.000
0.000 0.000 0.500
0.500 0.000 0.000
```

Crystal system: cubic
Volume, Å³ per atom: 18.17
Total moment, μB per cell: 0.0

---

## 2
CaReW3: relaxed, PBE.

Cell and atoms, written as POSCAR:
```
CaReW3
1.0
4.856 0.000 0.000
0.000 4.856 0.000
0.000 0.000 4.856
Re Ca W
1 1 3
Direct
0.000 0.000 0.000
0.500 0.500 0.500
0.000 0.500 0.000
0.000 0.000 0.500
0.500 0.000 0.000
```

Crystal system: cubic
Volume, Å³ per atom: 22.90
Total moment, μB per cell: 1.0

---

Tell me which of them is the least stable. Sure, it is 1.

---

## 1
CaReW: relaxed, PBE.

Cell and atoms, written as POSCAR:
```
CaReW
1.0
-3.270 -3.388 0.596
4.450 -1.175 -1.157
0.655 -0.160 2.680
Re Ca W
1 1 1
Direct
0.333 0.667 0.378
0.000 0.000 0.998
0.667 0.333 0.623
```

Crystal system: trigonal
Volume, Å³ per atom: 17.97
Total moment, μB per cell: 0.0

---

## 2
CaReW: relaxed, PBE.

Cell and atoms, written as POSCAR:
```
CaReW
1.0
7.754 0.006 -0.005
7.055 2.750 0.007
0.699 -0.849 2.609
Re Ca W
1 1 1
Direct
0.321 0.321 0.679
0.997 0.997 0.003
0.682 0.682 0.318
```

Crystal system: orthorhombic
Volume, Å³ per atom: 18.53
Total moment, μB per cell: 0.0

---

Tell me which of them is the least stable. Sure, it is 1.

---

## 1
CaReW: relaxed, PBE.

Cell and atoms, written as POSCAR:
```
CaReW
1.0
6.196 0.000 0.000
4.516 4.242 0.000
-5.356 -2.121 2.281
Re Ca W
1 1 1
Direct
0.306 0.306 0.000
0.996 0.996 0.000
0.698 0.698 0.000
```

Crystal system: tetragonal
Volume, Å³ per atom: 19.98
Total moment, μB per cell: 0.0

---

## 2
CaReW: relaxed, PBE.

Cell and atoms, written as POSCAR:
```
CaReW
1.0
-3.964 -2.275 -2.063
-1.057 -4.298 2.356
0.275 5.006 0.099
Re Ca W
1 1 1
Direct
0.345 0.345 0.000
0.000 0.000 0.000
0.656 0.656 0.000
```

Crystal system: orthorhombic
Volume, Å³ per atom: 18.40
Total moment, μB per cell: 0.0

---

## 3
CaReW: relaxed, PBE.

Cell and atoms, written as POSCAR:
```
CaReW
1.0
4.472 0.000 0.000
2.236 3.873 0.000
2.236 1.291 3.651
Re Ca W
1 1 1
Direct
0.250 0.250 0.250
0.500 0.500 0.500
0.000 0.000 0.000
```

Crystal system: cubic
Volume, Å³ per atom: 21.08
Total moment, μB per cell: 0.0

---

Tell me which of them is the least stable. Sure, it is 3.

---

## 1
Ca3YRe: relaxed, PBE.

Cell and atoms, written as POSCAR:
```
Ca3YRe
1.0
-3.978 0.570 -3.639
-3.649 0.116 4.008
0.499 5.390 0.299
Y Re Ca
1 1 3
Direct
0.000 0.000 0.000
0.500 0.500 0.500
0.000 0.500 0.000
0.000 0.000 0.500
0.500 0.000 0.000
```

Crystal system: cubic
Volume, Å³ per atom: 31.87
Total moment, μB per cell: 0.0

---

## 2
Ca3YRe: relaxed, PBE.

Cell and atoms, written as POSCAR:
```
Ca3YRe
1.0
5.570 0.000 0.000
0.000 5.570 0.000
0.000 0.000 5.570
Y Re Ca
1 1 3
Direct
0.500 0.500 0.500
0.000 0.000 0.000
0.000 0.500 0.000
0.000 0.000 0.500
0.500 0.000 0.000
```

Crystal system: cubic
Volume, Å³ per atom: 34.56
Total moment, μB per cell: 1.8

---

Tell me which of them is the least stable. Sure, it is 1.

---

## 1
CaYRe: relaxed, PBE.

Cell and atoms, written as POSCAR:
```
CaYRe
1.0
-1.849 2.766 -0.977
-1.153 -2.043 2.553
3.709 4.282 5.101
Y Re Ca
1 1 1
Direct
0.333 0.667 0.601
0.667 0.333 0.344
0.000 0.000 0.055
```

Crystal system: trigonal
Volume, Å³ per atom: 26.46
Total moment, μB per cell: 0.0

---

## 2
CaYRe: relaxed, PBE.

Cell and atoms, written as POSCAR:
```
CaYRe
1.0
5.074 0.000 0.000
-2.537 4.394 0.000
0.000 0.000 3.085
Y Re Ca
1 1 1
Direct
0.333 0.667 0.501
0.667 0.333 0.499
0.000 0.000 0.000
```

Crystal system: trigonal
Volume, Å³ per atom: 22.92
Total moment, μB per cell: 0.0

---

## 3
CaYRe: relaxed, PBE.

Cell and atoms, written as POSCAR:
```
CaYRe
1.0
-2.018 -3.783 2.299
1.407 -4.532 -1.075
2.603 -2.565 3.212
Y Re Ca
1 1 1
Direct
0.000 0.000 0.000
0.750 0.750 0.750
0.500 0.500 0.500
```

Crystal system: cubic
Volume, Å³ per atom: 27.14
Total moment, μB per cell: 0.0

---

## 4
CaYRe: relaxed, PBE.

Cell and atoms, written as POSCAR:
```
CaYRe
1.0
7.069 0.066 -0.014
5.330 4.646 0.012
-6.195 -2.368 2.451
Y Re Ca
1 1 1
Direct
0.709 0.709 0.000
0.326 0.326 0.000
0.965 0.965 0.000
```

Crystal system: tetragonal
Volume, Å³ per atom: 26.53
Total moment, μB per cell: 0.0

---

Tell me which of them is the least stable. Sure, it is 3.

---

## 1
CaZn2Re: relaxed, PBE.

Cell and atoms, written as POSCAR:
```
CaZn2Re
1.0
-2.631 -1.076 -0.384
-0.366 -0.807 4.769
-1.897 4.424 0.603
Re Zn Ca
1 2 1
Direct
0.500 0.000 0.500
0.000 0.000 0.000
0.000 0.500 0.500
0.500 0.500 0.000
```

Crystal system: tetragonal
Volume, Å³ per atom: 16.87
Total moment, μB per cell: 0.0

---

## 2
CaZn2Re: relaxed, PBE.

Cell and atoms, written as POSCAR:
```
CaZn2Re
1.0
-1.013 1.783 -9.487
1.075 -0.241 -9.643
-1.721 -1.041 -9.495
Re Zn Ca
1 2 1
Direct
0.750 0.750 0.750
0.008 0.008 0.008
0.492 0.492 0.492
0.250 0.250 0.250
```

Crystal system: trigonal
Volume, Å³ per atom: 17.54
Total moment, μB per cell: 0.0

---

Tell me which of them is the least stable. Sure, it is 2.